[1]
Computed, not measured: Tl3ZnHg8 after structural relaxation at the GGA-PBE level of DFT.

Calculated values
E_form = 0.00 eV per atom
symmetry = P6_3mc, No. 186

Structure (CIF):
```
data_Tl3ZnHg8
_cell_length_a 6.799
_cell_length_b 10.493
_cell_length_c 10.493
_cell_angle_alpha 120.00
_cell_angle_beta 90.00
_cell_angle_gamma 90.00
_space_group_name_H-M_alt 'P 1'
_space_group_IT_number 1
loop_
_space_group_symop_operation_xyz
'x,y,z'
loop_
_atom_site_label
_atom_site_fract_x
_atom_site_fract_y
_atom_site_fract_z
Hg1 0.272 0.199 0.801
Zn1 0.522 0.667 0.333
Tl1 0.767 0.157 0.843
Hg2 0.006 0.493 0.987
Hg3 0.506 0.987 0.493
Hg4 0.272 0.199 0.397
Hg5 0.272 0.603 0.801
Tl2 0.267 0.843 0.686
Hg6 0.772 0.801 0.603
Zn2 0.022 0.333 0.667
Hg7 0.523 0.000 0.000
Hg8 0.006 0.013 0.507
Hg9 0.772 0.397 0.199
Tl3 0.267 0.314 0.157
Tl4 0.267 0.843 0.157
Tl5 0.767 0.686 0.843
Hg10 0.506 0.507 0.493
Hg11 0.594 0.333 0.667
Tl6 0.767 0.157 0.314
Hg12 0.506 0.507 0.013
Hg13 0.006 0.493 0.507
Hg14 0.772 0.801 0.199
Hg15 0.023 0.000 0.000
Hg16 0.094 0.667 0.333
```

[2]
Computed, not measured: HgBrO2 after structural relaxation at the GGA-PBE level of DFT.

Calculated values
ΔE_f (raw) = 0.00 eV per atom
offset from the most stable computed form = 0.000 eV per atom
symmetry = R-3m, No. 166

Structure (CIF):
```
data_HgBrO2
_cell_length_a 6.538
_cell_length_b 6.538
_cell_length_c 6.538
_cell_angle_alpha 31.55
_cell_angle_beta 31.55
_cell_angle_gamma 31.55
_space_group_name_H-M_alt 'P 1'
_space_group_IT_number 1
loop_
_space_group_symop_operation_xyz
'x,y,z'
loop_
_atom_site_label
_atom_site_fract_x
_atom_site_fract_y
_atom_site_fract_z
O1 0.894 0.894 0.894
Hg1 0.500 0.500 0.500
Br1 0.000 0.000 0.000
O2 0.106 0.106 0.106
```

[3]
Computed, not measured: La4Pm2Dy7 after structural relaxation at the GGA-PBE level of DFT.

Calculated values
E_form = 0.14 eV per atom
symmetry = P-1, No. 2

Structure (CIF):
```
data_La4Pm2Dy7
_cell_length_a 6.078
_cell_length_b 11.704
_cell_length_c 9.154
_cell_angle_alpha 65.33
_cell_angle_beta 102.25
_cell_angle_gamma 130.59
_space_group_name_H-M_alt 'P 1'
_space_group_IT_number 1
loop_
_space_group_symop_operation_xyz
'x,y,z'
loop_
_atom_site_label
_atom_site_fract_x
_atom_site_fract_y
_atom_site_fract_z
Dy1 0.038 0.365 0.355
Dy2 0.739 0.974 0.621
Dy3 0.261 0.026 0.379
Dy4 0.831 0.620 0.274
Pm1 0.619 0.392 0.031
Dy5 0.000 0.000 0.000
La1 0.519 0.749 0.370
Dy6 0.169 0.380 0.726
Dy7 0.962 0.635 0.645
La2 0.212 0.854 0.883
La3 0.788 0.146 0.117
La4 0.481 0.251 0.630
Pm2 0.381 0.608 0.969
```

[4]
Computed, not measured: AsOs2Se after structural relaxation at the GGA-PBE level of DFT.

Calculated values
ΔE_f (raw) = 0.65 eV per atom
offset from the most stable computed form = 0.413 eV per atom
symmetry = Fm-3m, No. 225

Structure (CIF):
```
data_AsOs2Se
_cell_length_a 4.411
_cell_length_b 4.411
_cell_length_c 4.411
_cell_angle_alpha 60.00
_cell_angle_beta 60.00
_cell_angle_gamma 60.00
_space_group_name_H-M_alt 'P 1'
_space_group_IT_number 1
loop_
_space_group_symop_operation_xyz
'x,y,z'
loop_
_atom_site_label
_atom_site_fract_x
_atom_site_fract_y
_atom_site_fract_z
As1 0.000 0.000 0.000
Os1 0.250 0.250 0.250
Se1 0.500 0.500 0.500
Os2 0.750 0.750 0.750
```

[5]
Computed, not measured: BaCu3 after structural relaxation at the GGA-PBE level of DFT.

Calculated values
E_form = 0.41 eV per atom
symmetry = Fm-3m, No. 225

Structure (CIF):
```
data_BaCu3
_cell_length_a 4.986
_cell_length_b 4.986
_cell_length_c 4.986
_cell_angle_alpha 60.00
_cell_angle_beta 60.00
_cell_angle_gamma 60.00
_space_group_name_H-M_alt 'P 1'
_space_group_IT_number 1
loop_
_space_group_symop_operation_xyz
'x,y,z'
loop_
_atom_site_label
_atom_site_fract_x
_atom_site_fract_y
_atom_site_fract_z
Cu1 0.750 0.750 0.750
Ba1 0.000 0.000 0.000
Cu2 0.500 0.500 0.500
Cu3 0.250 0.250 0.250
```

[6]
Computed, not measured: Nd8ErCo2 after structural relaxation at the GGA-PBE level of DFT.

Calculated values
E_form = 0.09 eV per atom
symmetry = C2/m, No. 12

Structure (CIF):
```
data_Nd8ErCo2
_cell_length_a 7.344
_cell_length_b 7.482
_cell_length_c 7.482
_cell_angle_alpha 68.16
_cell_angle_beta 107.49
_cell_angle_gamma 107.49
_space_group_name_H-M_alt 'P 1'
_space_group_IT_number 1
loop_
_space_group_symop_operation_xyz
'x,y,z'
loop_
_atom_site_label
_atom_site_fract_x
_atom_site_fract_y
_atom_site_fract_z
Nd1 0.312 0.872 0.872
Nd2 0.688 0.128 0.128
Nd3 0.685 0.193 0.587
Er1 0.000 0.000 0.000
Nd4 0.315 0.807 0.413
Co1 0.615 0.816 0.816
Nd5 0.179 0.322 0.322
Co2 0.385 0.184 0.184
Nd6 0.315 0.413 0.807
Nd7 0.685 0.587 0.193
Nd8 0.821 0.678 0.678
```

[7]
Computed, not measured: BaZr2Cl after structural relaxation at the GGA-PBE level of DFT.

Calculated values
ΔE_f (raw) = -0.26 eV per atom
offset from the most stable computed form = 0.055 eV per atom
symmetry = Pm, No. 6

Structure (CIF):
```
data_BaZr2Cl
_cell_length_a 3.490
_cell_length_b 4.754
_cell_length_c 7.641
_cell_angle_alpha 64.33
_cell_angle_beta 90.00
_cell_angle_gamma 90.00
_space_group_name_H-M_alt 'P 1'
_space_group_IT_number 1
loop_
_space_group_symop_operation_xyz
'x,y,z'
loop_
_atom_site_label
_atom_site_fract_x
_atom_site_fract_y
_atom_site_fract_z
Zr1 0.500 0.313 0.099
Zr2 0.000 0.833 0.068
Cl1 0.500 0.857 0.759
Ba1 0.000 0.497 0.574
```

[8]
Computed, not measured: Li3Ho2Ni12Ge after structural relaxation at the GGA-PBE level of DFT.

Calculated values
E_form = 0.04 eV per atom
symmetry = R-3m, No. 166

Structure (CIF):
```
data_Li3Ho2Ni12Ge
_cell_length_a 9.955
_cell_length_b 9.955
_cell_length_c 9.955
_cell_angle_alpha 32.09
_cell_angle_beta 32.09
_cell_angle_gamma 32.09
_space_group_name_H-M_alt 'P 1'
_space_group_IT_number 1
loop_
_space_group_symop_operation_xyz
'x,y,z'
loop_
_atom_site_label
_atom_site_fract_x
_atom_site_fract_y
_atom_site_fract_z
Ge1 0.000 0.000 0.000
Ni1 0.590 0.590 0.173
Ni2 0.410 0.827 0.410
Ni3 0.827 0.410 0.410
Ho1 0.361 0.361 0.361
Ni4 0.890 0.403 0.890
Li1 0.000 0.500 0.000
Ni5 0.110 0.597 0.110
Ni6 0.403 0.890 0.890
Ni7 0.173 0.590 0.590
Ni8 0.110 0.110 0.597
Li2 0.000 0.000 0.500
Ni9 0.590 0.173 0.590
Ni10 0.597 0.110 0.110
Ho2 0.639 0.639 0.639
Ni11 0.890 0.890 0.403
Li3 0.500 0.000 0.000
Ni12 0.410 0.410 0.827
```

[9]
Computed, not measured: HoCoSn after structural relaxation at the GGA-PBE level of DFT.

Calculated values
E_form = -0.35 eV per atom
symmetry = F-43m, No. 216

Structure (CIF):
```
data_HoCoSn
_cell_length_a 4.514
_cell_length_b 4.514
_cell_length_c 4.514
_cell_angle_alpha 60.00
_cell_angle_beta 60.00
_cell_angle_gamma 60.00
_space_group_name_H-M_alt 'P 1'
_space_group_IT_number 1
loop_
_space_group_symop_operation_xyz
'x,y,z'
loop_
_atom_site_label
_atom_site_fract_x
_atom_site_fract_y
_atom_site_fract_z
Ho1 0.500 0.500 0.500
Sn1 0.000 0.000 0.000
Co1 0.250 0.250 0.250
```

[10]
Computed, not measured: Ca3Zn3Ir2 after structural relaxation at the GGA-PBE level of DFT.

Calculated values
E_form = -0.38 eV per atom
offset from the most stable computed form = 0.015 eV per atom
symmetry = Cmcm, No. 63

Structure (CIF):
```
data_Ca3Zn3Ir2
_cell_length_a 4.389
_cell_length_b 5.626
_cell_length_c 15.245
_cell_angle_alpha 90.00
_cell_angle_beta 90.00
_cell_angle_gamma 112.96
_space_group_name_H-M_alt 'P 1'
_space_group_IT_number 1
loop_
_space_group_symop_operation_xyz
'x,y,z'
loop_
_atom_site_label
_atom_site_fract_x
_atom_site_fract_y
_atom_site_fract_z
Zn1 0.639 0.278 0.037
Ca1 0.630 0.259 0.250
Zn2 0.361 0.722 0.963
Ca2 0.081 0.161 0.897
Ir1 0.787 0.573 0.605
Ca3 0.370 0.741 0.750
Zn3 0.324 0.648 0.250
Zn4 0.639 0.278 0.463
Ir2 0.213 0.427 0.395
Zn5 0.361 0.722 0.537
Zn6 0.676 0.352 0.750
Ir3 0.213 0.427 0.105
Ca4 0.081 0.161 0.603
Ca5 0.919 0.839 0.103
Ir4 0.787 0.573 0.895
Ca6 0.919 0.839 0.397
```

[11]
Computed, not measured: La2CoTeN after structural relaxation at the GGA-PBE level of DFT.

Calculated values
ΔE_f (raw) = -0.99 eV per atom
symmetry = P4/mmm, No. 123

Structure (CIF):
```
data_La2CoTeN
_cell_length_a 5.398
_cell_length_b 5.398
_cell_length_c 3.702
_cell_angle_alpha 90.00
_cell_angle_beta 90.00
_cell_angle_gamma 90.00
_space_group_name_H-M_alt 'P 1'
_space_group_IT_number 1
loop_
_space_group_symop_operation_xyz
'x,y,z'
loop_
_atom_site_label
_atom_site_fract_x
_atom_site_fract_y
_atom_site_fract_z
N1 0.000 0.000 0.000
La1 0.500 0.000 0.000
Te1 0.500 0.500 0.500
La2 0.000 0.500 0.000
Co1 0.000 0.000 0.500
```

[12]
Computed, not measured: Rb2PtPbF6 after structural relaxation at the GGA-PBE level of DFT.

Calculated values
ΔE_f (raw) = -2.08 eV per atom
symmetry = I4/mmm, No. 139

Structure (CIF):
```
data_Rb2PtPbF6
_cell_length_a 6.255
_cell_length_b 6.255
_cell_length_c 7.107
_cell_angle_alpha 63.89
_cell_angle_beta 63.89
_cell_angle_gamma 90.00
_space_group_name_H-M_alt 'P 1'
_space_group_IT_number 1
loop_
_space_group_symop_operation_xyz
'x,y,z'
loop_
_atom_site_label
_atom_site_fract_x
_atom_site_fract_y
_atom_site_fract_z
Rb1 0.250 0.750 0.500
F1 0.273 0.727 0.000
Rb2 0.750 0.250 0.500
F2 0.727 0.273 0.000
F3 0.727 0.727 0.000
F4 0.273 0.273 0.000
F5 0.213 0.213 0.575
F6 0.787 0.787 0.425
Pt1 0.500 0.500 0.000
Pb1 0.000 0.000 0.000
```

[13]
Computed, not measured: CsScPaSe4 after structural relaxation at the GGA-PBE level of DFT.

Calculated values
ΔE_f (raw) = -1.35 eV per atom
symmetry = Imma, No. 74

Structure (CIF):
```
data_CsScPaSe4
_cell_length_a 9.393
_cell_length_b 8.656
_cell_length_c 8.712
_cell_angle_alpha 120.21
_cell_angle_beta 90.00
_cell_angle_gamma 122.86
_space_group_name_H-M_alt 'P 1'
_space_group_IT_number 1
loop_
_space_group_symop_operation_xyz
'x,y,z'
loop_
_atom_site_label
_atom_site_fract_x
_atom_site_fract_y
_atom_site_fract_z
Se1 0.673 0.980 0.740
Se2 0.738 0.475 0.687
Cs1 0.904 0.809 0.154
Se3 0.693 0.020 0.260
Se4 0.307 0.980 0.740
Pa1 0.000 0.500 0.500
Se5 0.738 0.475 0.288
Pa2 0.500 0.500 0.500
Se6 0.327 0.020 0.260
Se7 0.262 0.525 0.712
Sc1 0.500 0.000 0.000
Se8 0.262 0.525 0.313
Sc2 0.500 0.000 0.500
Cs2 0.096 0.191 0.846
```

[14]
Computed, not measured: Tm4Bi3C after structural relaxation at the GGA-PBE level of DFT.

Calculated values
E_form = -0.39 eV per atom
symmetry = Pmn2_1, No. 31

Structure (CIF):
```
data_Tm4Bi3C
_cell_length_a 6.132
_cell_length_b 9.142
_cell_length_c 9.150
_cell_angle_alpha 90.00
_cell_angle_beta 90.00
_cell_angle_gamma 90.00
_space_group_name_H-M_alt 'P 1'
_space_group_IT_number 1
loop_
_space_group_symop_operation_xyz
'x,y,z'
loop_
_atom_site_label
_atom_site_fract_x
_atom_site_fract_y
_atom_site_fract_z
C1 0.998 0.188 0.000
Tm1 0.064 0.944 0.000
Tm2 0.564 0.056 0.500
Bi1 0.565 0.348 0.296
Tm3 0.570 0.688 0.709
Bi2 0.065 0.652 0.204
Bi3 0.565 0.348 0.704
Tm4 0.626 0.194 0.000
Bi4 0.558 0.868 0.000
Tm5 0.070 0.312 0.791
Tm6 0.070 0.312 0.209
Tm7 0.126 0.806 0.500
Bi5 0.065 0.652 0.796
C2 0.498 0.812 0.500
Bi6 0.058 0.132 0.500
Tm8 0.570 0.688 0.291
```